The following is a PBE calculation of a relaxed structure of BeAlHg, from Alexandria via LeMat-Bulk.

Output
Formation energy from the elements, eV/f.u.: 0.757
E above lowest polymorph, meV/atom: 82
M_tot, μB/cell: 0.0
Symmetry: P2_1, No. 4

Cell: 4.9917 3.1307 6.5770 Å, 90.00 93.66 90.00°
Sites, in units of the cell vectors:
Be 0.1354 0.0000 0.0621
Be 0.8646 0.5000 0.9379
Al 0.3535 0.5013 0.8416
Al 0.6465 0.0013 0.1584
Hg 0.2367 0.9585 0.4306
Hg 0.7633 0.4585 0.5694